# 1
NaCe2WO8 PBE with a Hubbard U relaxed; electronic total energy = -89.70 eV for the cell shown; total magnetic moment = 0.0816 μB per atom
1.0
5.023 -0.052 -0.003
-0.025 5.022 -0.005
0.004 0.008 7.120
Na Ce W O
1 2 1 8
Direct
0.000 0.000 0.500 Na
0.500 0.500 0.742 Ce
0.500 0.500 0.258 Ce
0.000 0.000 0.000 W
0.187 0.813 0.197 O
0.719 0.719 0.000 O
0.813 0.187 0.197 O
0.813 0.187 0.803 O
0.281 0.281 0.000 O
0.187 0.813 0.803 O
0.680 0.681 0.500 O
0.320 0.319 0.500 O

# 2
NaCeWO6 PBE with a Hubbard U relaxed; electronic total energy = -63.94 eV for the cell shown; total magnetic moment = 0.1145 μB per atom
1.0
-0.653 -1.691 -4.491
4.819 -2.664 0.302
-4.641 -2.503 1.618
Na Ce W O
1 1 1 6
Direct
0.500 0.667 0.333 Na
0.000 0.333 0.667 Ce
0.500 0.000 0.000 W
0.729 0.696 0.725 O
0.729 0.275 0.971 O
0.729 0.029 0.304 O
0.271 0.275 0.304 O
0.271 0.696 0.971 O
0.271 0.029 0.725 O